(1)
This record from Alexandria via LeMat-Bulk describes a geometry-optimized CaSb structure. The functional is PBE-GGA.

Summary:
- spin magnetization (μB per atom) = 0.0003
- V (A^3/atom) = 44.9
- energy relative to the elements, uncorrected (eV/atom) = -0.544

abc: 10.658 10.658 6.318
angles: 90.00 90.00 90.00
Element x y z (fractional)
Ca 0.119 0.623 0.000
Ca 0.195 0.315 0.500
Ca 0.315 0.805 0.500
Ca 0.377 0.119 0.000
Ca 0.623 0.881 0.000
Ca 0.685 0.195 0.500
Ca 0.805 0.685 0.500
Ca 0.881 0.377 0.000
Sb 0.092 0.598 0.500
Sb 0.178 0.330 0.000
Sb 0.330 0.822 0.000
Sb 0.402 0.092 0.500
Sb 0.598 0.908 0.500
Sb 0.670 0.178 0.000
Sb 0.822 0.670 0.000
Sb 0.908 0.402 0.500

(2)
This record from Alexandria via LeMat-Bulk describes a geometry-optimized ZnAg2Os structure. The functional is PBE-GGA.

Summary:
- calculated formation energy (eV/atom) = 0.4075
- spin magnetization (μB per atom) = 0.0000
- V (A^3/atom) = 16.0

abc: 2.691 4.300 5.688
angles: 90.00 103.57 90.00
Element x y z (fractional)
Zn 0.000 0.000 0.000
Ag 0.149 0.500 0.292
Ag 0.767 0.000 0.530
Os 0.413 0.500 0.821